No. 1
The following is a DFT calculation (PBE-GGA) of a relaxed structure of CdPOs3.

## Properties
Its calculated volume is 85.0 Å³/f.u. The calculation puts the density of states at the Fermi level at 1.008 states/eV/atom. The energy of formation comes out at 838 meV per atom. As for the space-group type: No. 221.

a b c (Å): 4.3961 4.3961 4.3961
angles (deg): 90.00 90.00 90.00
Last column: magnetic moment on the atom in μB.
Positions (direct):
P1 0.0000 0.0000 0.0000  -0.01
Os1 0.0000 0.5000 0.0000  0.22
Os2 0.0000 0.0000 0.5000  0.17
Os3 0.5000 0.0000 0.0000  0.23
Cd1 0.5000 0.5000 0.5000  0.00

---

No. 2
The following is a DFT calculation (PBE-GGA) of a relaxed structure of YHoSi2.

## Properties
Its calculated volume is 91.8 Å³/f.u. The calculation puts the density of states at the Fermi level at 0.464 states/eV/atom. For the formation energy (no corrections), the calculation gives -0.527 eV/atom. As for the space-group type: No. 166.

a b c (Å): 4.5726 4.5726 5.7148
angles (deg): 66.42 66.42 60.00
Positions (direct):
Y1 0.0000 0.0000 0.0000
Si1 0.2485 0.2485 0.2545
Si2 0.7515 0.7515 0.7455
Ho1 0.5000 0.5000 0.5000